CoBrF2: relaxed, PBE with a Hubbard U.

Cell: 4.339 4.339 4.339 Å, 60.00 60.00 60.00°
Last column: magnetic moment on the atom in μB.
Positions (direct):
Br  0.500  0.500  0.500  0.58
F  0.250  0.250  0.250  0.23
Co  0.000  0.000  0.000  2.77
F  0.750  0.750  0.750  0.23

Properties
- uncorrected energy (eV/atom) = -3.001
- Fermi-level density of states (states/eV/f.u.) = 3.538
- symmetry = Fm-3m